--- i ---
Computed, not measured: an optimized crystal structure of Pm2ErPd at the PBE level of DFT.

Results
N(E_F), states/eV/atom: 1.174
Crystal system: orthorhombic

Unit cell a=6.7045 b=6.5509 c=11.1385 alpha=89.99 beta=90.00 gamma=90.00
Fractional positions:
Pm 0.7826 0.9199 0.9130
Pm 0.2174 0.0801 0.0870
Pm 0.2826 0.5801 0.5870
Pm 0.7174 0.4199 0.4130
Pm 0.7823 0.4196 0.0870
Pm 0.2177 0.5804 0.9130
Pm 0.2823 0.0804 0.4130
Pm 0.7177 0.9196 0.5870
Er 0.2498 0.5552 0.2500
Er 0.7502 0.4448 0.7500
Er 0.7498 0.9448 0.2500
Er 0.2502 0.0552 0.7500
Pd 0.9998 0.2501 0.5897
Pd 0.0002 0.7499 0.4103
Pd 0.4998 0.2499 0.9103
Pd 0.5002 0.7501 0.0897

=====

--- ii ---
Computed, not measured: an optimized crystal structure of Pm2ErPd at the PBE level of DFT.

Results
N(E_F), states/eV/atom: 1.285
Crystal system: tetragonal

Unit cell a=3.6751 b=3.6751 c=8.3568 alpha=90.00 beta=90.00 gamma=90.00
Fractional positions:
Pm 0.0000 0.0000 0.7949
Pm 0.0000 0.0000 0.2051
Pd 0.5000 0.5000 0.0000
Er 0.5000 0.5000 0.5000

=====

--- iii ---
Computed, not measured: an optimized crystal structure of Pm2ErPd at the PBE level of DFT.

Results
N(E_F), states/eV/atom: 0.789
Crystal system: trigonal

Unit cell a=3.4632 b=3.4632 c=11.3921 alpha=81.26 beta=81.26 gamma=60.00
Fractional positions:
Pm 0.0796 0.0796 0.7611
Pm 0.9204 0.9204 0.2389
Pd 0.0000 0.0000 0.0000
Er 0.5000 0.5000 0.5000

=====

--- iv ---
Computed, not measured: an optimized crystal structure of Pm2ErPd at the PBE level of DFT.

Results
N(E_F), states/eV/atom: 0.997
Crystal system: orthorhombic

Unit cell a=6.4996 b=7.1105 c=10.0001 alpha=90.00 beta=90.00 gamma=90.00
Fractional positions:
Pm 0.1736 0.6837 0.0597
Pm 0.3264 0.1837 0.4403
Pm 0.8264 0.3163 0.5597
Pm 0.6736 0.8163 0.9403
Pm 0.8264 0.3163 0.9403
Pm 0.6736 0.8163 0.5597
Pm 0.1736 0.6837 0.4403
Pm 0.3264 0.1837 0.0597
Er 0.6424 0.5291 0.2500
Er 0.8576 0.0291 0.2500
Er 0.3576 0.4709 0.7500
Er 0.1424 0.9709 0.7500
Pd 0.0525 0.3869 0.2500
Pd 0.4475 0.8869 0.2500
Pd 0.9475 0.6131 0.7500
Pd 0.5525 0.1131 0.7500

=====

Which structure is the most stable? The one labeled iv.

=====

--- i ---
Computed, not measured: an optimized crystal structure of PmErPd4 at the PBE level of DFT.

Results
N(E_F), states/eV/atom: 0.426
Crystal system: tetragonal

Unit cell a=3.9472 b=3.9485 c=8.5574 alpha=89.99 beta=89.99 gamma=90.00
Fractional positions:
Pm 0.5012 0.4974 0.9981
Er 0.0014 0.9971 0.4981
Pd 0.5014 0.9974 0.2555
Pd 0.5013 0.9972 0.7408
Pd 0.0012 0.4971 0.7408
Pd 0.0013 0.4974 0.2555

=====

--- ii ---
Computed, not measured: an optimized crystal structure of PmErPd4 at the PBE level of DFT.

Results
N(E_F), states/eV/atom: 0.375
Crystal system: cubic

Unit cell a=5.4672 b=5.4672 c=5.4672 alpha=60.00 beta=60.00 gamma=60.00
Fractional positions:
Pm 0.2500 0.2500 0.2500
Pd 0.6254 0.6254 0.1239
Pd 0.6254 0.1239 0.6254
Pd 0.6254 0.6254 0.6254
Pd 0.1239 0.6254 0.6254
Er 0.0000 0.0000 0.0000

=====

--- iii ---
Computed, not measured: an optimized crystal structure of PmErPd4 at the PBE level of DFT.

Results
N(E_F), states/eV/atom: 0.554
Crystal system: monoclinic

Unit cell a=3.6634 b=5.2031 c=7.2488 alpha=102.30 beta=75.36 gamma=69.39
Fractional positions:
Pm 0.0000 0.0000 0.0000
Er 0.5000 0.5000 0.5000
Pd 0.8468 0.4850 0.8214
Pd 0.3225 0.0113 0.3437
Pd 0.1532 0.5150 0.1786
Pd 0.6775 0.9887 0.6563

=====

Which structure is the most stable? The one labeled ii.

=====

--- i ---
Computed, not measured: an optimized crystal structure of Pm2ErPd3 at the PBE level of DFT.

Results
N(E_F), states/eV/atom: 0.710
Crystal system: monoclinic

Unit cell a=5.9582 b=8.5571 c=6.7748 alpha=108.20 beta=116.09 gamma=90.00
Fractional positions:
Pm 0.6959 0.5843 0.3521
Pm 0.6562 0.0843 0.3521
Pm 0.3438 0.9157 0.6479
Pm 0.3041 0.4157 0.6479
Er 0.8694 0.7500 0.0000
Er 0.1306 0.2500 0.0000
Pd 0.6295 0.2500 0.0000
Pd 0.3705 0.7500 0.0000
Pd 0.1150 0.0765 0.2803
Pd 0.8347 0.4235 0.7197
Pd 0.1653 0.5765 0.2803
Pd 0.8850 0.9235 0.7197

=====

--- ii ---
Computed, not measured: an optimized crystal structure of Pm2ErPd3 at the PBE level of DFT.

Results
N(E_F), states/eV/atom: 0.623
Crystal system: orthorhombic

Unit cell a=3.4757 b=5.0508 c=15.4178 alpha=90.00 beta=90.00 gamma=90.00
Fractional positions:
Pm 0.9985 0.0000 0.6663
Pm 0.9985 0.0000 0.3337
Pm 0.0015 0.5000 0.1663
Pm 0.0015 0.5000 0.8337
Er 0.9988 0.5000 0.5000
Er 0.0012 0.0000 0.0000
Pd 0.4987 0.5000 0.6541
Pd 0.4989 0.0000 0.5000
Pd 0.4987 0.5000 0.3459
Pd 0.5013 0.0000 0.1541
Pd 0.5011 0.5000 0.0000
Pd 0.5013 0.0000 0.8459

=====

Which structure is the most stable? The one labeled ii.